The following is a DFT calculation (PBE with a Hubbard U) of an optimized crystal structure of Be2WF2.

a = 3.5786 Å, b = 3.5786 Å, c = 5.5770 Å
α = 71.29°, β = 71.29°, γ = 90.00°
Site moments in Bohr magnetons follow the coordinates.
Fractional positions:
W (0.0000, 0.0000, 0.0000)  2.39
Be (0.2500, 0.7500, 0.5000)  -0.11
Be (0.7500, 0.2500, 0.5000)  -0.11
F (0.2751, 0.2751, 0.4499)  0.01
F (0.7249, 0.7249, 0.5501)  0.01

SG: No. 139
M_tot, μB/f.u.: 2.16
V, Å³ per atom: 12.73
ΔE to the lowest computed polymorph, eV per formula unit: 3.25